Na2Zn2B | PBE | relaxed

Computed properties:
Energy above the most stable polymorph in this dataset   685 meV/atom
Crystal system   tetragonal

Lattice parameters (Å, degrees): 3.737 3.737 7.565 75.70 75.70 90.00
Fractional positions:
Zn  0.416  0.416  0.169
Zn  0.584  0.584  0.831
B  0.000  0.000  0.000
Na  0.750  0.250  0.500
Na  0.250  0.750  0.500